Record 1
# Zn2ReTe PBE optimized geometry
# Raw formation energy in eV/atom: 0.384
# DFT total energy in eV per atom: -4.151
data_Zn2ReTe
_cell_length_a 3.150
_cell_length_b 3.150
_cell_length_c 8.060
_cell_angle_alpha 90.00
_cell_angle_beta 90.00
_cell_angle_gamma 90.00
_space_group_name_H-M_alt 'P 1'
_space_group_IT_number 1
_space_group_name_Hall 'P 1'
loop_
_atom_site_label
_atom_site_type_symbol
_atom_site_fract_x
_atom_site_fract_y
_atom_site_fract_z
_atom_site_occupancy
Zn1 Zn 0.000 0.000 0.000 1
Zn2 Zn 0.500 0.500 0.191 1
Re1 Re 0.000 0.000 0.395 1
Te1 Te 0.500 0.500 0.589 1

***

Record 2
# ZnRe2Te PBE optimized geometry
# Excess energy over the best structure of this formula in the dataset in eV per atom: 0.309
# Raw formation energy in eV/atom: 0.640
# DFT total energy in eV per atom: -6.688
data_ZnRe2Te
_cell_length_a 3.711
_cell_length_b 4.544
_cell_length_c 4.922
_cell_angle_alpha 90.00
_cell_angle_beta 101.33
_cell_angle_gamma 90.00
_space_group_name_H-M_alt 'P 1'
_space_group_IT_number 1
_space_group_name_Hall 'P 1'
loop_
_atom_site_label
_atom_site_type_symbol
_atom_site_fract_x
_atom_site_fract_y
_atom_site_fract_z
_atom_site_occupancy
Zn1 Zn 0.000 0.000 0.000 1
Re1 Re 0.318 0.500 0.166 1
Re2 Re 0.682 0.500 0.834 1
Te1 Te 0.500 0.000 0.500 1

***

Record 3
# ZnRe2Te PBE optimized geometry
# Excess energy over the best structure of this formula in the dataset in eV per atom: 0.628
# Raw formation energy in eV/atom: 0.959
# DFT total energy in eV per atom: -6.369
data_ZnRe2Te
_cell_length_a 2.829
_cell_length_b 2.829
_cell_length_c 9.672
_cell_angle_alpha 90.00
_cell_angle_beta 90.00
_cell_angle_gamma 117.01
_space_group_name_H-M_alt 'P 1'
_space_group_IT_number 1
_space_group_name_Hall 'P 1'
loop_
_atom_site_label
_atom_site_type_symbol
_atom_site_fract_x
_atom_site_fract_y
_atom_site_fract_z
_atom_site_occupancy
Zn1 Zn 0.000 0.000 0.000 1
Re1 Re 0.500 0.500 0.228 1
Re2 Re 0.500 0.500 0.772 1
Te1 Te 0.000 0.000 0.500 1

***

Record 4
# ZnRe2Te PBE optimized geometry
# Excess energy over the best structure of this formula in the dataset in eV per atom: 0.366
# Raw formation energy in eV/atom: 0.697
# DFT total energy in eV per atom: -6.630
data_ZnRe2Te
_cell_length_a 4.485
_cell_length_b 4.485
_cell_length_c 4.485
_cell_angle_alpha 60.00
_cell_angle_beta 60.00
_cell_angle_gamma 60.00
_space_group_name_H-M_alt 'P 1'
_space_group_IT_number 1
_space_group_name_Hall 'P 1'
loop_
_atom_site_label
_atom_site_type_symbol
_atom_site_fract_x
_atom_site_fract_y
_atom_site_fract_z
_atom_site_occupancy
Zn1 Zn 0.000 0.000 0.000 1
Re1 Re 0.250 0.250 0.250 1
Re2 Re 0.750 0.750 0.750 1
Te1 Te 0.500 0.500 0.500 1

***

Record 5
# ZnReTe2 PBE optimized geometry
# Raw formation energy in eV/atom: 0.478
# DFT total energy in eV per atom: -4.524
data_ZnReTe2
_cell_length_a 7.362
_cell_length_b 7.362
_cell_length_c 7.362
_cell_angle_alpha 130.22
_cell_angle_beta 130.22
_cell_angle_gamma 73.05
_space_group_name_H-M_alt 'P 1'
_space_group_IT_number 1
_space_group_name_Hall 'P 1'
loop_
_atom_site_label
_atom_site_type_symbol
_atom_site_fract_x
_atom_site_fract_y
_atom_site_fract_z
_atom_site_occupancy
Zn1 Zn 0.000 0.000 0.000 1
Zn2 Zn 0.750 0.250 0.500 1
Re1 Re 0.250 0.750 0.500 1
Re2 Re 0.500 0.500 0.000 1
Te1 Te 0.141 0.625 0.016 1
Te2 Te 0.375 0.391 0.516 1
Te3 Te 0.609 0.125 0.984 1
Te4 Te 0.875 0.859 0.484 1

***

Record 6
# Zn2Re2Te PBE optimized geometry
# Excess energy over the best structure of this formula in the dataset in eV per atom: 0.250
# Raw formation energy in eV/atom: 0.903
# DFT total energy in eV per atom: -5.214
data_Zn2Re2Te
_cell_length_a 7.053
_cell_length_b 7.053
_cell_length_c 3.284
_cell_angle_alpha 90.00
_cell_angle_beta 90.00
_cell_angle_gamma 90.00
_space_group_name_H-M_alt 'P 1'
_space_group_IT_number 1
_space_group_name_Hall 'P 1'
loop_
_atom_site_label
_atom_site_type_symbol
_atom_site_fract_x
_atom_site_fract_y
_atom_site_fract_z
_atom_site_occupancy
Zn1 Zn 0.121 0.379 0.000 1
Zn2 Zn 0.379 0.879 0.000 1
Zn3 Zn 0.621 0.121 0.000 1
Zn4 Zn 0.879 0.621 0.000 1
Re1 Re 0.174 0.674 0.500 1
Re2 Re 0.326 0.174 0.500 1
Re3 Re 0.674 0.826 0.500 1
Re4 Re 0.826 0.326 0.500 1
Te1 Te 0.000 0.000 0.000 1
Te2 Te 0.500 0.500 0.000 1

***

Record 7
# ZnRe2Te PBE optimized geometry
# Excess energy over the best structure of this formula in the dataset in eV per atom: 0.520
# Raw formation energy in eV/atom: 0.852
# DFT total energy in eV per atom: -6.476
data_ZnRe2Te
_cell_length_a 5.355
_cell_length_b 5.355
_cell_length_c 5.355
_cell_angle_alpha 146.06
_cell_angle_beta 127.42
_cell_angle_gamma 64.07
_space_group_name_H-M_alt 'P 1'
_space_group_IT_number 1
_space_group_name_Hall 'P 1'
loop_
_atom_site_label
_atom_site_type_symbol
_atom_site_fract_x
_atom_site_fract_y
_atom_site_fract_z
_atom_site_occupancy
Zn1 Zn 0.000 0.000 0.000 1
Re1 Re 0.235 0.735 0.500 1
Re2 Re 0.765 0.265 0.500 1
Te1 Te 0.500 0.500 0.000 1

***

Record 8
# ZnReTe2 PBE optimized geometry
# Raw formation energy in eV/atom: 0.287
# DFT total energy in eV per atom: -4.714
data_ZnReTe2
_cell_length_a 7.175
_cell_length_b 7.175
_cell_length_c 7.175
_cell_angle_alpha 153.76
_cell_angle_beta 145.17
_cell_angle_gamma 44.13
_space_group_name_H-M_alt 'P 1'
_space_group_IT_number 1
_space_group_name_Hall 'P 1'
loop_
_atom_site_label
_atom_site_type_symbol
_atom_site_fract_x
_atom_site_fract_y
_atom_site_fract_z
_atom_site_occupancy
Zn1 Zn 0.000 0.000 0.000 1
Re1 Re 0.500 0.500 0.000 1
Te1 Te 0.337 0.837 0.500 1
Te2 Te 0.663 0.163 0.500 1

***

Record 9
# Zn2ReTe PBE optimized geometry
# Raw formation energy in eV/atom: 0.576
# DFT total energy in eV per atom: -3.959
data_Zn2ReTe
_cell_length_a 5.088
_cell_length_b 5.088
_cell_length_c 2.864
_cell_angle_alpha 90.00
_cell_angle_beta 90.00
_cell_angle_gamma 110.75
_space_group_name_H-M_alt 'P 1'
_space_group_IT_number 1
_space_group_name_Hall 'P 1'
loop_
_atom_site_label
_atom_site_type_symbol
_atom_site_fract_x
_atom_site_fract_y
_atom_site_fract_z
_atom_site_occupancy
Zn1 Zn 0.000 0.500 0.000 1
Zn2 Zn 0.500 0.000 0.000 1
Re1 Re 0.000 0.000 0.500 1
Te1 Te 0.500 0.500 0.500 1

***

Record 10
# Zn2ReTe PBE optimized geometry
# Raw formation energy in eV/atom: 0.502
# DFT total energy in eV per atom: -4.032
data_Zn2ReTe
_cell_length_a 10.254
_cell_length_b 10.254
_cell_length_c 10.254
_cell_angle_alpha 16.50
_cell_angle_beta 16.50
_cell_angle_gamma 16.50
_space_group_name_H-M_alt 'P 1'
_space_group_IT_number 1
_space_group_name_Hall 'P 1'
loop_
_atom_site_label
_atom_site_type_symbol
_atom_site_fract_x
_atom_site_fract_y
_atom_site_fract_z
_atom_site_occupancy
Zn1 Zn 0.235 0.235 0.235 1
Zn2 Zn 0.765 0.765 0.765 1
Re1 Re 0.500 0.500 0.500 1
Te1 Te 0.000 0.000 0.000 1

***

Record 11
# ZnRe2Te PBE optimized geometry
# Excess energy over the best structure of this formula in the dataset in eV per atom: 0.323
# Raw formation energy in eV/atom: 0.655
# DFT total energy in eV per atom: -6.673
data_ZnRe2Te
_cell_length_a 2.876
_cell_length_b 2.876
_cell_length_c 10.145
_cell_angle_alpha 90.00
_cell_angle_beta 90.00
_cell_angle_gamma 117.78
_space_group_name_H-M_alt 'P 1'
_space_group_IT_number 1
_space_group_name_Hall 'P 1'
loop_
_atom_site_label
_atom_site_type_symbol
_atom_site_fract_x
_atom_site_fract_y
_atom_site_fract_z
_atom_site_occupancy
Zn1 Zn 0.000 0.000 0.000 1
Re1 Re 0.000 0.000 0.570 1
Re2 Re 0.500 0.500 0.777 1
Te1 Te 0.500 0.500 0.314 1

***

Record 12
# Zn2ReTe PBE optimized geometry
# Raw formation energy in eV/atom: 0.432
# DFT total energy in eV per atom: -4.102
data_Zn2ReTe
_cell_length_a 4.155
_cell_length_b 6.517
_cell_length_c 6.517
_cell_angle_alpha 25.81
_cell_angle_beta 90.00
_cell_angle_gamma 90.00
_space_group_name_H-M_alt 'P 1'
_space_group_IT_number 1
_space_group_name_Hall 'P 1'
loop_
_atom_site_label
_atom_site_type_symbol
_atom_site_fract_x
_atom_site_fract_y
_atom_site_fract_z
_atom_site_occupancy
Zn1 Zn 0.000 0.000 0.000 1
Zn2 Zn 0.500 0.123 0.123 1
Re1 Re 0.000 0.677 0.677 1
Te1 Te 0.500 0.835 0.835 1

***

Record 13
# ZnReTe2 PBE optimized geometry
# Raw formation energy in eV/atom: 0.960
# DFT total energy in eV per atom: -4.041
data_ZnReTe2
_cell_length_a 9.077
_cell_length_b 9.077
_cell_length_c 9.077
_cell_angle_alpha 22.02
_cell_angle_beta 22.02
_cell_angle_gamma 22.02
_space_group_name_H-M_alt 'P 1'
_space_group_IT_number 1
_space_group_name_Hall 'P 1'
loop_
_atom_site_label
_atom_site_type_symbol
_atom_site_fract_x
_atom_site_fract_y
_atom_site_fract_z
_atom_site_occupancy
Zn1 Zn 0.000 0.000 0.000 1
Re1 Re 0.500 0.500 0.500 1
Te1 Te 0.404 0.404 0.404 1
Te2 Te 0.596 0.596 0.596 1

***

Record 14
# Zn2ReTe PBE optimized geometry
# Raw formation energy in eV/atom: 0.511
# DFT total energy in eV per atom: -4.024
data_Zn2ReTe
_cell_length_a 2.896
_cell_length_b 3.955
_cell_length_c 6.334
_cell_angle_alpha 90.00
_cell_angle_beta 90.00
_cell_angle_gamma 90.00
_space_group_name_H-M_alt 'P 1'
_space_group_IT_number 1
_space_group_name_Hall 'P 1'
loop_
_atom_site_label
_atom_site_type_symbol
_atom_site_fract_x
_atom_site_fract_y
_atom_site_fract_z
_atom_site_occupancy
Zn1 Zn 0.000 0.000 0.194 1
Zn2 Zn 0.000 0.000 0.806 1
Re1 Re 0.500 0.500 0.000 1
Te1 Te 0.500 0.500 0.500 1

***

Record 15
# ZnReTe2 PBE optimized geometry
# Raw formation energy in eV/atom: 0.574
# DFT total energy in eV per atom: -4.427
data_ZnReTe2
_cell_length_a 3.113
_cell_length_b 3.113
_cell_length_c 10.414
_cell_angle_alpha 90.00
_cell_angle_beta 90.00
_cell_angle_gamma 116.92
_space_group_name_H-M_alt 'P 1'
_space_group_IT_number 1
_space_group_name_Hall 'P 1'
loop_
_atom_site_label
_atom_site_type_symbol
_atom_site_fract_x
_atom_site_fract_y
_atom_site_fract_z
_atom_site_occupancy
Zn1 Zn 0.000 0.000 0.000 1
Re1 Re 0.500 0.500 0.196 1
Te1 Te 0.000 0.000 0.399 1
Te2 Te 0.500 0.500 0.753 1